Entry 1:
DFT (GGA-PBE) results for ErThGaPt after structural relaxation.

Computed properties:
energy of formation from the pure elements = -0.75 eV per atom
uncorrected energy = -24.038 eV/cell
relative energy among the computed polymorphs = 0.132 eV per atom
magnetic moment = 0.0 Bohr magnetons per cell

a b c (Å): 5.095 5.095 5.095
angles (deg): 60.00 60.00 60.00
Atoms (fractional coordinates):
1 Ga 0.250 0.250 0.250
2 Pt 0.750 0.750 0.750
3 Th 0.000 0.000 0.000
4 Er 0.500 0.500 0.500

***

Entry 2:
DFT (GGA-PBE) results for MnInSi2 after structural relaxation.

Computed properties:
energy relative to the elements, uncorrected = 323 meV/atom
uncorrected energy = -21.462 eV/cell
magnetic moment = 2.6 Bohr magnetons per cell

a b c (Å): 8.010 8.010 8.010
angles (deg): 22.67 22.67 22.67
Each line ends with the local moment (μB).
Atoms (fractional coordinates):
1 In 0.503 0.503 0.503  -0.05
2 Mn 0.262 0.262 0.262  2.70
3 Si 0.998 0.998 0.998  -0.09
4 Si 0.738 0.738 0.738  0.01

***

Entry 3:
DFT (GGA-PBE) results for SrHgIr2 after structural relaxation.

Computed properties:
energy of formation from the pure elements = 0.44 eV per atom
uncorrected energy = -17.956 eV/cell
magnetic moment = 0.0 Bohr magnetons per cell

a b c (Å): 3.163 5.145 4.813
angles (deg): 90.00 90.00 90.00
Atoms (fractional coordinates):
1 Hg 0.000 0.500 0.500
2 Ir 0.000 0.000 0.000
3 Ir 0.500 0.500 0.000
4 Sr 0.500 0.000 0.500

***

Entry 4:
DFT (GGA-PBE) results for Li2Ag8Sn after structural relaxation.

Computed properties:
energy of formation from the pure elements = -0.05 eV per atom
uncorrected energy = -31.204 eV/cell
relative energy among the computed polymorphs = 0.000 eV per atom
magnetic moment = 0.0 Bohr magnetons per cell

a b c (Å): 4.466 7.065 7.596
angles (deg): 117.72 107.10 90.00
Atoms (fractional coordinates):
1 Li 0.203 0.703 0.406
2 Li 0.797 0.297 0.594
3 Ag 0.652 0.856 0.303
4 Ag 0.348 0.553 0.697
5 Ag 0.157 0.157 0.314
6 Ag 0.000 0.304 0.000
7 Ag 0.843 0.843 0.686
8 Ag 0.652 0.447 0.303
9 Ag 0.348 0.144 0.697
10 Ag 0.000 0.696 0.000
11 Sn 0.500 0.000 0.000

***

Entry 5:
DFT (GGA-PBE) results for Li4Ac3Tl4 after structural relaxation.

Computed properties:
energy of formation from the pure elements = -0.28 eV per atom
uncorrected energy = -32.487 eV/cell
magnetic moment = 0.0 Bohr magnetons per cell

a b c (Å): 3.908 5.113 16.037
angles (deg): 80.91 82.98 89.99
Atoms (fractional coordinates):
1 Li 0.595 0.095 0.811
2 Li 0.257 0.257 0.487
3 Li 0.743 0.743 0.513
4 Li 0.405 0.905 0.189
5 Ac 0.146 0.647 0.707
6 Ac 0.854 0.353 0.293
7 Ac 0.000 0.000 0.000
8 Tl 0.552 0.552 0.896
9 Tl 0.448 0.448 0.104
10 Tl 0.311 0.811 0.378
11 Tl 0.689 0.189 0.622

***

Entry 6:
DFT (GGA-PBE) results for TaTi3Os after structural relaxation.

Computed properties:
energy of formation from the pure elements = 1.48 eV per atom
uncorrected energy = -39.362 eV/cell
relative energy among the computed polymorphs = 1.746 eV per atom
magnetic moment = 0.0 Bohr magnetons per cell

a b c (Å): 4.644 4.644 4.644
angles (deg): 90.00 90.00 90.00
Atoms (fractional coordinates):
1 Ti 0.000 0.500 0.000
2 Ti 0.000 0.000 0.500
3 Ti 0.500 0.000 0.000
4 Os 0.500 0.500 0.500
5 Ta 0.000 0.000 0.000

***

Entry 7:
DFT (GGA-PBE) results for Zr2TlTe after structural relaxation.

Computed properties:
energy relative to the elements, uncorrected = -196 meV/atom
uncorrected energy = -23.386 eV/cell
relative energy among the computed polymorphs = 0.155 eV per atom
magnetic moment = 0.0 Bohr magnetons per cell

a b c (Å): 5.071 5.071 5.071
angles (deg): 60.00 60.00 60.00
Atoms (fractional coordinates):
1 Tl 0.500 0.500 0.500
2 Te 0.000 0.000 0.000
3 Zr 0.250 0.250 0.250
4 Zr 0.750 0.750 0.750

***

Entry 8:
DFT (GGA-PBE) results for MgTcSnH after structural relaxation.

Computed properties:
uncorrected energy = -19.070 eV/cell
relative energy among the computed polymorphs = 0.146 eV per atom
magnetic moment = 0.0 Bohr magnetons per cell

a b c (Å): 3.211 3.211 6.885
angles (deg): 90.00 90.00 120.00
Atoms (fractional coordinates):
1 Mg 0.667 0.333 0.131
2 Tc 0.333 0.667 0.809
3 Sn 0.000 0.000 0.505
4 H 0.667 0.333 0.838

***

Entry 9:
DFT (GGA-PBE) results for AlSb3 after structural relaxation.

Computed properties:
energy relative to the elements, uncorrected = 173 meV/atom
uncorrected energy = -30.834 eV/cell
relative energy among the computed polymorphs = 0.121 eV per atom
magnetic moment = 0.0 Bohr magnetons per cell

a b c (Å): 8.198 8.198 4.080
angles (deg): 90.00 90.00 116.93
Atoms (fractional coordinates):
1 Al 0.438 0.562 0.250
2 Al 0.562 0.438 0.750
3 Sb 0.917 0.083 0.750
4 Sb 0.083 0.917 0.250
5 Sb 0.941 0.596 0.750
6 Sb 0.059 0.404 0.250
7 Sb 0.404 0.059 0.750
8 Sb 0.596 0.941 0.250

***

Entry 10:
DFT (GGA-PBE) results for Pa5Nb2 after structural relaxation.

Computed properties:
energy of formation from the pure elements = 0.02 eV per atom
uncorrected energy = -67.482 eV/cell
magnetic moment = 0.0 Bohr magnetons per cell

a b c (Å): 3.409 3.409 14.080
angles (deg): 96.95 96.95 90.00
Atoms (fractional coordinates):
1 Pa 0.156 0.156 0.312
2 Pa 0.580 0.580 0.160
3 Pa 0.000 0.000 0.000
4 Pa 0.420 0.420 0.840
5 Pa 0.844 0.844 0.688
6 Nb 0.280 0.280 0.559
7 Nb 0.720 0.720 0.441

***

Entry 11:
DFT (GGA-PBE) results for CoSi2P after structural relaxation.

Computed properties:
energy relative to the elements, uncorrected = 130 meV/atom
uncorrected energy = -22.843 eV/cell
relative energy among the computed polymorphs = 0.265 eV per atom
magnetic moment = 0.3 Bohr magnetons per cell

a b c (Å): 3.977 3.977 5.080
angles (deg): 71.24 71.24 45.35
Each line ends with the local moment (μB).
Atoms (fractional coordinates):
1 Co 0.750 0.750 0.750  0.28
2 P 0.250 0.250 0.250  0.01
3 Si 0.996 0.996 0.955  0.00
4 Si 0.504 0.504 0.545  0.00

***

Entry 12:
DFT (GGA-PBE) results for MgZrCd2 after structural relaxation.

Computed properties:
energy of formation from the pure elements = -0.08 eV per atom
uncorrected energy = -12.286 eV/cell
magnetic moment = 0.0 Bohr magnetons per cell

a b c (Å): 5.546 7.077 2.991
angles (deg): 64.87 90.07 121.57
Atoms (fractional coordinates):
1 Mg 0.500 0.500 0.000
2 Zr 0.500 0.000 0.500
3 Cd 0.000 0.000 0.000
4 Cd 0.000 0.500 0.500

***

Question: Among the records above, which one has the highest uncorrected energy?
Answer: MgZrCd2

***

Question: Among the records above, which one has the highest magnetic moment?
Answer: MnInSi2